The following is a DFT calculation (PBE) of a relaxed La2Pr3Ho4 crystal.

Cell lengths 17.015, 5.838, 6.559 Å; angles 90.00, 107.59, 90.00 degrees
Space group C2/m (No. 12)
Asymmetric unit:
La1 0.141 0.000 0.294 x4
Pr1 0.000 0.500 0.000 x2
Pr2 0.129 0.500 0.586 x4
Ho1 0.065 0.000 0.750 x4
Ho2 0.228 0.500 0.141 x4

Calculated values
ΔH_f (0 K)	0.095	eV per atom
DOS at the Fermi energy	28.0	states/eV per cell
M_tot	0.000	μB/cell